UPaCo5As2 | PBE | optimized geometry

a b c (Å): 3.6613 3.6613 10.9160
angles (deg): 90.00 90.00 90.00
Closest atoms and distances in Å follow each position.
Sites, in units of the cell vectors:
U 0.0000 0.0000 0.0000  8 Co 2.54
Pa 0.0000 0.0000 0.5000  4 Co 2.59
Co 0.0000 0.5000 0.1612  2 As 2.32, 2 U 2.54, 4 Co 2.59
Co 0.0000 0.5000 0.8388  2 As 2.32, 2 U 2.54, 4 Co 2.59
Co 0.5000 0.0000 0.1612  2 As 2.32, 2 U 2.54, 4 Co 2.59
Co 0.5000 0.0000 0.8388  2 As 2.32, 2 U 2.54, 4 Co 2.59
Co 0.5000 0.5000 0.5000  2 As 2.27
As 0.5000 0.5000 0.2922  5 Co 2.27-2.32
As 0.5000 0.5000 0.7078  5 Co 2.27-2.32

## Properties
Formation enthalpy at 0 K = -0.22 eV per atom
E = -67.6 eV/f.u.
Total magnetic moment = 0.0 μB per formula unit